Below is crystalline Pm2B3C2 at its relaxed geometry, with properties calculated at the PBE level.

Summary:
**Energy**: -7.2793 eV/atom

```
data_Pm2B3C2
_symmetry_space_group_name_H-M 'P 1 2/m 1'
_symmetry_Int_Tables_number 10
_symmetry_space_group_name_Hall '-P 2y'
_cell_length_a 3.490
_cell_length_b 3.811
_cell_length_c 7.069
_cell_angle_alpha 90.00
_cell_angle_beta 103.65
_cell_angle_gamma 90.00
loop_
_atom_site_label
_atom_site_type_symbol
_atom_site_fract_x
_atom_site_fract_y
_atom_site_fract_z
Pm1 Pm 0.141 0.000 0.269
B1 B 0.279 0.500 0.567
B2 B 0.500 0.500 0.000
C1 C 0.388 0.500 0.790
```

=====

Below is crystalline MgPaGe at its relaxed geometry, with properties calculated at the PBE level.

Summary:
**Energy**: -4.7042 eV/atom

```
data_MgPaGe
_symmetry_space_group_name_H-M 'F -4 3 m'
_symmetry_Int_Tables_number 216
_symmetry_space_group_name_Hall 'F -4 2 3'
_cell_length_a 6.894
_cell_length_b 6.894
_cell_length_c 6.894
_cell_angle_alpha 90.00
_cell_angle_beta 90.00
_cell_angle_gamma 90.00
loop_
_atom_site_label
_atom_site_type_symbol
_atom_site_fract_x
_atom_site_fract_y
_atom_site_fract_z
Mg1 Mg 0.000 0.000 0.000
Pa1 Pa 0.250 0.250 0.750
Ge1 Ge 0.000 0.000 0.500
```

=====

Below is crystalline PuPaGa at its relaxed geometry, with properties calculated at the PBE level.

Summary:
**Energy relative to the lowest polymorph listed for this composition**: 0 meV/atom
**Energy**: -8.6691 eV/atom

```
data_PuPaGa
_symmetry_space_group_name_H-M 'F -4 3 m'
_symmetry_Int_Tables_number 216
_symmetry_space_group_name_Hall 'F -4 2 3'
_cell_length_a 6.638
_cell_length_b 6.638
_cell_length_c 6.638
_cell_angle_alpha 90.00
_cell_angle_beta 90.00
_cell_angle_gamma 90.00
loop_
_atom_site_label
_atom_site_type_symbol
_atom_site_fract_x
_atom_site_fract_y
_atom_site_fract_z
Pu1 Pu 0.000 0.000 0.000
Pa1 Pa 0.250 0.250 0.750
Ga1 Ga 0.250 0.250 0.250
```

=====

Below is crystalline ErMgAuSe3 at its relaxed geometry, with properties calculated at the PBE level.

Summary:
**Energy**: -4.3393 eV/atom

```
data_ErMgAuSe3
_symmetry_space_group_name_H-M 'C m c m'
_symmetry_Int_Tables_number 63
_symmetry_space_group_name_Hall '-C 2c 2'
_cell_length_a 3.842
_cell_length_b 13.216
_cell_length_c 10.624
_cell_angle_alpha 90.00
_cell_angle_beta 90.00
_cell_angle_gamma 90.00
loop_
_atom_site_label
_atom_site_type_symbol
_atom_site_fract_x
_atom_site_fract_y
_atom_site_fract_z
Er1 Er 0.000 0.000 0.000
Mg1 Mg 0.000 0.221 0.250
Au1 Au 0.000 0.476 0.750
Se1 Se 0.000 0.118 0.750
Se2 Se 0.000 0.349 0.564
```

=====

Below is crystalline BaMgTaIr at its relaxed geometry, with properties calculated at the PBE level.

Summary:
**Energy relative to the lowest polymorph listed for this composition**: 205 meV/atom
**Energy**: -5.3051 eV/atom

```
data_BaMgTaIr
_symmetry_space_group_name_H-M 'F -4 3 m'
_symmetry_Int_Tables_number 216
_symmetry_space_group_name_Hall 'F -4 2 3'
_cell_length_a 7.131
_cell_length_b 7.131
_cell_length_c 7.131
_cell_angle_alpha 90.00
_cell_angle_beta 90.00
_cell_angle_gamma 90.00
loop_
_atom_site_label
_atom_site_type_symbol
_atom_site_fract_x
_atom_site_fract_y
_atom_site_fract_z
Ba1 Ba 0.000 0.000 0.000
Mg1 Mg 0.250 0.250 0.250
Ta1 Ta 0.000 0.000 0.500
Ir1 Ir 0.250 0.250 0.750
```

=====

Below is crystalline In2Tc2O7 at its relaxed geometry, with properties calculated at the PBE level.

Summary:
**Energy**: -6.8108 eV/atom

```
data_In2Tc2O7
_symmetry_space_group_name_H-M 'C 1 2/m 1'
_symmetry_Int_Tables_number 12
_symmetry_space_group_name_Hall '-C 2y'
_cell_length_a 6.358
_cell_length_b 9.413
_cell_length_c 5.438
_cell_angle_alpha 90.00
_cell_angle_beta 99.58
_cell_angle_gamma 90.00
loop_
_atom_site_label
_atom_site_type_symbol
_atom_site_fract_x
_atom_site_fract_y
_atom_site_fract_z
In1 In 0.000 0.191 0.000
Tc1 Tc 0.232 0.000 0.598
O1 O 0.000 0.500 0.500
O2 O 0.067 0.000 0.262
O3 O 0.234 0.332 0.210
```

=====

Below is crystalline GeAu17 at its relaxed geometry, with properties calculated at the PBE level.

Summary:
**Energy relative to the lowest polymorph listed for this composition**: 2 meV/atom
**Energy**: -3.2738 eV/atom

```
data_GeAu17
_symmetry_space_group_name_H-M 'P -3 m 1'
_symmetry_Int_Tables_number 164
_symmetry_space_group_name_Hall '-P 3 2"'
_cell_length_a 5.7781
_cell_length_b 5.7781
_cell_length_c 35.5364
_cell_angle_alpha 90.00
_cell_angle_beta 90.00
_cell_angle_gamma 120.00
loop_
_atom_site_label
_atom_site_type_symbol
_atom_site_fract_x
_atom_site_fract_y
_atom_site_fract_z
Ge1 Ge 0.3333 0.6667 0.2784
Au1 Au 0.0000 0.0000 0.0000
Au2 Au 0.0000 0.0000 0.2086
Au3 Au 0.0000 0.5000 0.0000
Au4 Au 0.0016 0.5008 0.2090
Au5 Au 0.1663 0.3327 0.1387
Au6 Au 0.1664 0.3328 0.7199
Au7 Au 0.1669 0.3337 0.9306
Au8 Au 0.3333 0.6667 0.0696
Au9 Au 0.3333 0.6667 0.8604
```

=====

Below is crystalline Tb6In23Pt12 at its relaxed geometry, with properties calculated at the PBE level.

Summary:
**Energy**: -4.6249 eV/atom

```
data_Tb6In23Pt12
_symmetry_space_group_name_H-M 'C 1 2/m 1'
_symmetry_Int_Tables_number 12
_symmetry_space_group_name_Hall '-C 2y'
_cell_length_a 28.627
_cell_length_b 4.435
_cell_length_c 14.931
_cell_angle_alpha 90.00
_cell_angle_beta 112.35
_cell_angle_gamma 90.00
loop_
_atom_site_label
_atom_site_type_symbol
_atom_site_fract_x
_atom_site_fract_y
_atom_site_fract_z
Tb1 Tb 0.046 0.000 0.198
Tb2 Tb 0.166 0.500 0.032
Tb3 Tb 0.178 0.500 0.578
In1 In 0.000 0.500 0.000
In2 In 0.029 0.000 0.675
In3 In 0.045 0.500 0.834
In4 In 0.056 0.500 0.561
In5 In 0.076 0.000 0.006
In6 In 0.092 0.000 0.450
In7 In 0.123 0.500 0.329
In8 In 0.146 0.500 0.780
In9 In 0.173 0.000 0.218
In10 In 0.213 0.000 0.935
In11 In 0.227 0.000 0.744
In12 In 0.238 0.500 0.416
Pt1 Pt 0.033 0.500 0.357
Pt2 Pt 0.100 0.500 0.135
Pt3 Pt 0.110 0.000 0.860
Pt4 Pt 0.119 0.000 0.649
Pt5 Pt 0.180 0.000 0.411
Pt6 Pt 0.246 0.000 0.136
```